(1)
A plane-wave DFT calculation with PBE-GGA was carried out for an optimized crystal structure of RbV2HPd.

Summary:
electronic total energy	-0.3203	Ry/atom
theoretical density	4.69	Mg/m³
M_tot	7.4	Bohr magnetons per cell
DOS at the Fermi energy	5.6	states/eV/f.u.

Cell lengths 5.3527, 5.3527, 3.6453 Å; angles 90.00, 90.00, 90.00 degrees
Last column: nearest neighbours and their distance in Å.
Space group P4/mmm (No. 123)
Unique sites:
Rb: 0.0000 0.0000 0.0000 (multiplicity 1)  8 V 3.24
V: 0.0000 0.5000 0.5000 (multiplicity 2)  2 Pd 2.68
H: 0.5000 0.5000 0.0000 (multiplicity 1)  2 Pd 1.82
Pd: 0.5000 0.5000 0.5000 (multiplicity 1)  2 H 1.82

(2)
A plane-wave DFT calculation with PBE-GGA was carried out for an optimized crystal structure of Re2H2Pd.

Summary:
E above lowest polymorph	4	meV/atom
electronic total energy	-0.5026	Ry/atom
theoretical density	14.23	Mg/m³
M_tot	0.0	Bohr magnetons per cell
DOS at the Fermi energy	3.7	states/eV/f.u.

Cell lengths 3.7369, 3.7369, 8.0342 Å; angles 90.00, 90.00, 90.00 degrees
Last column: nearest neighbours and their distance in Å.
Space group I4/mmm (No. 139)
Unique sites:
Re: 0.0000 0.5000 0.2500 (multiplicity 4)  4 H 2.01
H: 0.0000 0.0000 0.1586 (multiplicity 4)  4 Re 2.01
Pd: 0.0000 0.0000 0.5000 (multiplicity 2)  10 H 2.74-2.93, 8 Re 2.74

(3)
A plane-wave DFT calculation with PBE-GGA was carried out for an optimized crystal structure of ReHPd2.

Summary:
E above lowest polymorph	209	meV/atom
electronic total energy	-0.4426	Ry/atom
theoretical density	13.35	Mg/m³
M_tot	0.0	Bohr magnetons per cell
DOS at the Fermi energy	3.2	states/eV/f.u.

Cell lengths 6.1163, 6.1163, 5.3203 Å; angles 90.00, 90.00, 90.00 degrees
Last column: nearest neighbours and their distance in Å.
Space group I-42d (No. 122)
Unique sites:
Re: 0.0000 0.0000 0.0000 (multiplicity 4)  2 H 2.66, 8 Pd 2.66-2.74
H: 0.0000 0.0000 0.5000 (multiplicity 4)  4 Pd 1.89
Pd: 0.1444 0.2500 0.6250 (multiplicity 8)  2 H 1.89